[1]
DFT (GGA-PBE) results for a geometry-optimized Ho3Sn2Pd structure.

Results
SG = No. 62
raw total energy = -5.283 eV per atom
energy of formation = -0.795 eV/atom
total moment = 0.00 μB per formula unit

```
data_Ho3Sn2Pd
_chemical_formula_sum 'Ho12 Sn8 Pd4'
_cell_length_a 4.519
_cell_length_b 11.449
_cell_length_c 12.093
_cell_angle_alpha 90.00
_cell_angle_beta 90.00
_cell_angle_gamma 90.00
_space_group_name_H-M_alt 'P 1'
_space_group_IT_number 1
_space_group_name_Hall 'P 1'
loop_
_atom_site_label
_atom_site_type_symbol
_atom_site_fract_x
_atom_site_fract_y
_atom_site_fract_z
Ho1 Ho 0.250 0.371 0.051
Ho2 Ho 0.750 0.629 0.949
Ho3 Ho 0.750 0.871 0.449
Ho4 Ho 0.250 0.129 0.551
Ho5 Ho 0.250 0.700 0.231
Ho6 Ho 0.750 0.300 0.769
Ho7 Ho 0.750 0.200 0.269
Ho8 Ho 0.250 0.800 0.731
Ho9 Ho 0.250 0.442 0.374
Ho10 Ho 0.750 0.558 0.626
Ho11 Ho 0.750 0.942 0.126
Ho12 Ho 0.250 0.058 0.874
Sn1 Sn 0.250 0.689 0.498
Sn2 Sn 0.750 0.311 0.502
Sn3 Sn 0.750 0.189 0.002
Sn4 Sn 0.250 0.811 0.998
Sn5 Sn 0.250 0.993 0.315
Sn6 Sn 0.750 0.007 0.685
Sn7 Sn 0.750 0.493 0.185
Sn8 Sn 0.250 0.507 0.815
Pd1 Pd 0.250 0.126 0.124
Pd2 Pd 0.750 0.874 0.876
Pd3 Pd 0.750 0.626 0.376
Pd4 Pd 0.250 0.374 0.624
```

---

[2]
DFT (GGA-PBE) results for a geometry-optimized Ho4SnPd2 structure.

Results
SG = No. 9
raw total energy = -5.383 eV per atom
energy of formation = -0.712 eV/atom
total moment = 0.00 μB per formula unit

```
data_Ho4SnPd2
_chemical_formula_sum 'Ho8 Sn2 Pd4'
_cell_length_a 6.918
_cell_length_b 6.961
_cell_length_c 8.679
_cell_angle_alpha 107.95
_cell_angle_beta 107.78
_cell_angle_gamma 103.44
_space_group_name_H-M_alt 'P 1'
_space_group_IT_number 1
_space_group_name_Hall 'P 1'
loop_
_atom_site_label
_atom_site_type_symbol
_atom_site_fract_x
_atom_site_fract_y
_atom_site_fract_z
Ho1 Ho 0.005 0.246 0.402
Ho2 Ho 0.412 0.479 0.251
Ho3 Ho 0.872 0.653 0.667
Ho4 Ho 0.725 0.132 0.697
Ho5 Ho 0.410 0.978 0.249
Ho6 Ho 0.278 0.185 0.803
Ho7 Ho 0.455 0.736 0.833
Ho8 Ho 0.853 0.594 0.098
Sn1 Sn 0.213 0.776 0.483
Sn2 Sn 0.980 0.044 0.017
Pd1 Pd 0.464 0.350 0.573
Pd2 Pd 0.805 0.858 0.417
Pd3 Pd 0.638 0.191 0.083
Pd4 Pd 0.140 0.527 0.927
```